Here is an optimized crystal structure of DyAg2SnTe4 from Alexandria. Energies are from PBE-GGA.

abc: 4.362 7.387 7.616
angles: 70.31 90.00 90.00
Fractional coordinates of all 8 atoms:
Te (0.500, 0.244, 0.752)
Te (0.000, 0.238, 0.253)
Ag (0.500, 0.000, 0.500)
Ag (0.000, 0.000, 0.000)
Dy (0.000, 0.500, 0.500)
Sn (0.500, 0.500, 0.000)
Te (0.000, 0.762, 0.747)
Te (0.500, 0.756, 0.248)

Values from the calculation:
Total magnetization ... 0.00 Bohr magnetons per cell
VASP energy ... -3.843 eV/atom
V ... 28.9 A^3/atom
Space-group type ... P2/m



Here is an optimized crystal structure of DyTlAgSn from Alexandria. Energies are from PBE-GGA.

abc: 5.183 5.183 5.183
angles: 60.00 60.00 60.00
Fractional coordinates of all 4 atoms:
Ag (0.500, 0.500, 0.500)
Sn (0.250, 0.250, 0.250)
Dy (0.000, 0.000, 0.000)
Tl (0.750, 0.750, 0.750)

Values from the calculation:
Formation enthalpy at 0 K ... -0.1885 eV/atom
Total magnetization ... 0.00 Bohr magnetons per cell
VASP energy ... -3.644 eV/atom
V ... 24.6 A^3/atom
Space-group type ... F-43m



Here is an optimized crystal structure of DyTmAgSn from Alexandria. Energies are from PBE-GGA.

abc: 5.199 5.199 5.199
angles: 60.00 60.00 60.00
Fractional coordinates of all 4 atoms:
Sn (0.250, 0.250, 0.250)
Dy (0.000, 0.000, 0.000)
Ag (0.750, 0.750, 0.750)
Tm (0.500, 0.500, 0.500)

Values from the calculation:
Formation enthalpy at 0 K ... -0.4921 eV/atom
Total magnetization ... 0.09 Bohr magnetons per cell
VASP energy ... -4.474 eV/atom
V ... 24.8 A^3/atom
Space-group type ... F-43m



Here is an optimized crystal structure of DyYAgSn from Alexandria. Energies are from PBE-GGA.

abc: 5.234 5.234 5.234
angles: 60.00 60.00 60.00
Fractional coordinates of all 4 atoms:
Dy (0.000, 0.000, 0.000)
Sn (0.750, 0.750, 0.750)
Y (0.500, 0.500, 0.500)
Ag (0.250, 0.250, 0.250)

Values from the calculation:
Formation enthalpy at 0 K ... -0.5245 eV/atom
Total magnetization ... 0.36 Bohr magnetons per cell
VASP energy ... -5.005 eV/atom
V ... 25.4 A^3/atom
Space-group type ... F-43m



Here is an optimized crystal structure of DyZrAgSn from Alexandria. Energies are from PBE-GGA.

abc: 5.070 5.070 5.070
angles: 60.00 60.00 60.00
Fractional coordinates of all 4 atoms:
Zr (0.250, 0.250, 0.250)
Ag (0.000, 0.000, 0.000)
Dy (0.750, 0.750, 0.750)
Sn (0.500, 0.500, 0.500)

Values from the calculation:
Formation enthalpy at 0 K ... -0.3341 eV/atom
Total magnetization ... 0.00 Bohr magnetons per cell
VASP energy ... -5.335 eV/atom
V ... 23.0 A^3/atom
Space-group type ... F-43m



Here is an optimized crystal structure of SrDyAg from Alexandria. Energies are from PBE-GGA.

abc: 3.771 3.771 7.254
angles: 105.06 105.06 90.00
Fractional coordinates of all 3 atoms:
Ag (0.685, 0.685, 0.369)
Dy (0.295, 0.295, 0.590)
Sr (0.020, 0.020, 0.040)

Values from the calculation:
Formation enthalpy at 0 K ... -0.1210 eV/atom
Total magnetization ... 0.00 Bohr magnetons per cell
VASP energy ... -3.166 eV/atom
V ... 32.0 A^3/atom
Space-group type ... I4mm
Energy above the lowest structure with this stoichiometry ... 0.0000 eV/atom